Density functional theory data (GGA-PBE) for a relaxed structure of CsPbI2N.

The density of states at the Fermi level comes out at 0.6792 states/eV/atom. The raw formation energy is 0.803 eV per atom. For the energy, the calculation gives -12.0 eV per cell.

The structure belongs to space group P4/mmm (No. 123); the cell edges are 7.0734, 7.0734 and 5.4934 Å and the angles 90.00°, 90.00° and 90.00°. The distinct sites, in fractional coordinates, are Cs at (0.0000, 0.0000, 0.0000), Pb at (0.5000, 0.5000, 0.5000), I at (0.0000, 0.5000, 0.0000) and N at (0.0000, 0.0000, 0.5000).